--- 1 ---
HfTcSb2C | GGA-PBE | optimized geometry

a b c (Å): 5.490 5.490 4.867
angles (deg): 90.00 90.00 90.00
Space group P4/mmm (No. 123)
Inequivalent atoms, fractional coordinates:
Hf (0.000, 0.000, 0.000) x1
Tc (0.000, 0.000, 0.500) x1
Sb (0.000, 0.500, 0.000) x2
C (0.500, 0.500, 0.500) x1

Calculated values
D(E_F) = 4.00 states/eV/f.u.
Mass density = 6.023 Mg/m³

--- 2 ---
HfTcSb2C | GGA-PBE | optimized geometry

a b c (Å): 4.987 4.987 4.990
angles (deg): 90.00 90.00 90.00
Space group P4/mmm (No. 123)
Inequivalent atoms, fractional coordinates:
Hf (0.000, 0.000, 0.000) x1
Tc (0.000, 0.000, 0.500) x1
Sb (0.000, 0.500, 0.500) x2
C (0.500, 0.500, 0.000) x1

Calculated values
D(E_F) = 3.69 states/eV/f.u.
Mass density = 7.120 Mg/m³

Which is more stable than every other structure shown? 2 is more stable than every other one.